(1)
Computed, not measured: a relaxed Tb2PrEr8 crystal at the PBE-GGA level of DFT.

Unit cell a=9.0478 b=9.0478 c=8.3270 alpha=115.18 beta=115.18 gamma=34.86
Sites, in units of the cell vectors:
Tb 0.2015 0.2015 0.1580
Tb 0.7985 0.7985 0.8420
Pr 0.5000 0.5000 0.5000
Er 0.0191 0.0191 0.2228
Er 0.1594 0.1594 0.6982
Er 0.3328 0.3328 0.6062
Er 0.3829 0.3829 0.0552
Er 0.6171 0.6171 0.9448
Er 0.6672 0.6672 0.3938
Er 0.8406 0.8406 0.3018
Er 0.9809 0.9809 0.7772

Output
For the total energy, the calculation gives -4.492 eV per atom. Its formation enthalpy at 0 K is 0.103 eV/atom. For the theoretical density, the calculation gives 8.6 Mg/m³.

=====

(2)
Computed, not measured: a relaxed LiTi2ReI crystal at the PBE-GGA level of DFT.

Unit cell a=4.9494 b=4.9494 c=4.2382 alpha=90.00 beta=90.00 gamma=90.00
Sites, in units of the cell vectors:
Li 0.0000 0.0000 0.0000
Ti 0.0000 0.5000 0.5000
Ti 0.5000 0.0000 0.5000
Re 0.5000 0.5000 0.0000
I 0.0000 0.0000 0.5000

Output
For the total energy, the calculation gives -4.955 eV per atom. For the theoretical density, the calculation gives 6.7 Mg/m³.

=====

(3)
Computed, not measured: a relaxed ZrScTc3 crystal at the PBE-GGA level of DFT.

Unit cell a=4.5745 b=4.5745 c=4.5745 alpha=90.00 beta=90.00 gamma=90.00
Sites, in units of the cell vectors:
Zr 0.0000 0.0000 0.0000
Sc 0.5000 0.5000 0.5000
Tc 0.0000 0.5000 0.5000
Tc 0.5000 0.0000 0.5000
Tc 0.5000 0.5000 0.0000

Output
For the total energy, the calculation gives -7.939 eV per atom. The calculation puts the energy above the most stable polymorph in this dataset at 0 meV per atom. Its formation enthalpy at 0 K is 1.257 eV/atom. For the theoretical density, the calculation gives 7.5 Mg/m³.

=====

(4)
Computed, not measured: a relaxed Ag2SnF6 crystal at the PBE-GGA level of DFT.

Unit cell a=6.0189 b=6.1538 c=10.1072 alpha=90.00 beta=120.34 gamma=90.00
Sites, in units of the cell vectors:
Ag 0.1887 0.0647 0.2298
Ag 0.1887 0.4353 0.7298
Ag 0.8113 0.5647 0.2702
Ag 0.8113 0.9353 0.7702
Sn 0.5000 0.0000 0.0000
Sn 0.5000 0.5000 0.5000
F 0.1971 0.1853 0.9583
F 0.1971 0.3147 0.4583
F 0.2472 0.7406 0.3860
F 0.2472 0.7594 0.8860
F 0.4696 0.1079 0.8037
F 0.4696 0.3921 0.3037
F 0.5304 0.6079 0.6963
F 0.5304 0.8921 0.1963
F 0.7528 0.2406 0.1140
F 0.7528 0.2594 0.6140
F 0.8029 0.6853 0.5417
F 0.8029 0.8147 0.0417

Output
For the total energy, the calculation gives -4.178 eV per atom. The calculation puts the energy above the most stable polymorph in this dataset at 16 meV per atom. For the theoretical density, the calculation gives 4.6 Mg/m³.

=====

(5)
Computed, not measured: a relaxed Tb2Pm2Sb3 crystal at the PBE-GGA level of DFT.

Unit cell a=7.4925 b=7.4925 c=7.5352 alpha=98.37 beta=98.37 gamma=34.00
Sites, in units of the cell vectors:
Tb 0.1252 0.1252 0.3758
Tb 0.8748 0.8748 0.6242
Pm 0.3793 0.3793 0.1169
Pm 0.6207 0.6207 0.8831
Sb 0.2465 0.2465 0.7485
Sb 0.5000 0.5000 0.5000
Sb 0.7535 0.7535 0.2515

Output
For the total energy, the calculation gives -5.337 eV per atom. The calculation puts the energy above the most stable polymorph in this dataset at 142 meV per atom. For the theoretical density, the calculation gives 6.9 Mg/m³.

=====

(6)
Computed, not measured: a relaxed TaAlZn2 crystal at the PBE-GGA level of DFT.

Unit cell a=4.9748 b=4.9748 c=2.8259 alpha=90.00 beta=90.00 gamma=113.72
Sites, in units of the cell vectors:
Ta 0.0000 0.0000 0.0000
Al 0.5000 0.5000 0.0000
Zn 0.0000 0.5000 0.5000
Zn 0.5000 0.0000 0.5000

Output
For the total energy, the calculation gives -4.550 eV per atom. Its formation enthalpy at 0 K is -0.014 eV/atom. For the theoretical density, the calculation gives 8.8 Mg/m³.

=====

(7)
Computed, not measured: a relaxed TbFeCoSi3 crystal at the PBE-GGA level of DFT.

Unit cell a=6.4916 b=6.4916 c=5.6978 alpha=90.00 beta=90.00 gamma=125.25
Sites, in units of the cell vectors:
Tb 0.2273 0.7727 0.7500
Tb 0.7727 0.2273 0.2500
Fe 0.0269 0.9731 0.2500
Fe 0.9731 0.0269 0.7500
Co 0.3915 0.6085 0.2500
Co 0.6085 0.3915 0.7500
Si 0.2097 0.7903 0.2500
Si 0.2935 0.2935 0.0000
Si 0.2935 0.2935 0.5000
Si 0.7065 0.7065 0.0000
Si 0.7065 0.7065 0.5000
Si 0.7903 0.2097 0.7500

Output
For the total energy, the calculation gives -6.447 eV per atom. For the theoretical density, the calculation gives 6.1 Mg/m³.

=====

(8)
Computed, not measured: a relaxed BaZnCd4 crystal at the PBE-GGA level of DFT.

Unit cell a=9.0196 b=9.0196 c=7.7118 alpha=90.00 beta=90.00 gamma=149.54
Sites, in units of the cell vectors:
Ba 0.1220 0.8780 0.7500
Ba 0.8780 0.1220 0.2500
Zn 0.2372 0.7628 0.2500
Zn 0.7628 0.2372 0.7500
Cd 0.0777 0.9223 0.2500
Cd 0.3188 0.6812 0.5609
Cd 0.3188 0.6812 0.9391
Cd 0.5000 0.5000 0.0000
Cd 0.5000 0.5000 0.5000
Cd 0.6812 0.3188 0.0609
Cd 0.6812 0.3188 0.4391
Cd 0.9223 0.0777 0.7500

Output
For the total energy, the calculation gives -1.319 eV per atom. The calculation puts the energy above the most stable polymorph in this dataset at 0 meV per atom. Its formation enthalpy at 0 K is -0.176 eV/atom. For the theoretical density, the calculation gives 6.8 Mg/m³.

=====

theoretical density of number 3 (ZrScTc3)?
7.5 Mg/m³